## KBa2Zn (PBE-GGA)

Data for a geometry-optimized KBa2Zn structure.

Results
Its space group is I-42d (122). For the mass density, the calculation gives 2.9 g/cm3. The formation energy is 0.14 eV per atom. As for the density of states at the Fermi level: 1.682 states/eV/atom. Its final energy is -1.414 eV/atom.

Cell lengths 10.3633, 10.3633, 8.3766 Å; angles 51.79, 51.79, 90.00 degrees
Fractional coordinates of all 8 atoms:
K (0.2500, 0.7500, 0.5000)
K (0.5000, 0.5000, 0.0000)
Ba (0.3750, 0.2930, 0.7500)
Ba (0.8750, 0.9570, 0.7500)
Ba (0.0430, 0.6250, 0.2500)
Ba (0.7070, 0.1250, 0.2500)
Zn (0.7500, 0.2500, 0.5000)
Zn (0.0000, 0.0000, 0.0000)

=====

## K2BaZn (PBE-GGA)

Data for a geometry-optimized K2BaZn structure.

Results
Its relative energy among the computed polymorphs is 119 meV per atom. Its space group is Imm2 (44). For the mass density, the calculation gives 2.2 g/cm3. The formation energy is 0.13 eV per atom. As for the density of states at the Fermi level: 1.104 states/eV/atom. Its final energy is -1.219 eV/atom.

Cell lengths 8.1074, 8.1074, 8.1074 Å; angles 148.41, 129.27, 61.00 degrees
Fractional coordinates of all 4 atoms:
Ba (0.3146, 0.8146, 0.5000)
K (0.0025, 0.0025, 0.0000)
K (0.6905, 0.1905, 0.5000)
Zn (0.4923, 0.4923, 0.0000)

=====

## K2BaZn (PBE-GGA)

Data for a geometry-optimized K2BaZn structure.

Results
Its relative energy among the computed polymorphs is 0 meV per atom. Its space group is Pm (6). For the mass density, the calculation gives 2.3 g/cm3. The formation energy is 0.01 eV per atom. As for the density of states at the Fermi level: 0.650 states/eV/atom. Its final energy is -1.338 eV/atom.

Cell lengths 4.2764, 4.2954, 11.9643 Å; angles 68.90, 90.00, 90.00 degrees
Fractional coordinates of all 4 atoms:
K (0.5000, 0.1843, 0.3190)
K (0.0000, 0.0113, 0.9879)
Ba (0.5000, 0.8277, 0.6709)
Zn (0.0000, 0.4767, 0.5222)

=====

## K2BaZn (PBE-GGA)

Data for a geometry-optimized K2BaZn structure.

Results
Its relative energy among the computed polymorphs is 171 meV per atom. Its space group is P2/m (10). For the mass density, the calculation gives 2.4 g/cm3. The formation energy is 0.18 eV per atom. As for the density of states at the Fermi level: 1.055 states/eV/atom. Its final energy is -1.167 eV/atom.

Cell lengths 6.8637, 4.5591, 6.3908 Å; angles 82.41, 90.00, 90.00 degrees
Fractional coordinates of all 4 atoms:
Zn (0.5000, 0.2500, 0.2500)
K (0.0000, 0.0554, 0.0275)
K (0.0000, 0.4446, 0.4725)
Ba (0.5000, 0.7500, 0.7500)

=====

## K2Ba2Zn (PBE-GGA)

Data for a geometry-optimized K2Ba2Zn structure.

Results
Its space group is P4/mbm (127). For the mass density, the calculation gives 2.3 g/cm3. The formation energy is 0.14 eV per atom. As for the density of states at the Fermi level: 0.342 states/eV/atom. Its final energy is -1.325 eV/atom.

Cell lengths 8.8879, 8.8879, 7.6078 Å; angles 90.00, 90.00, 90.00 degrees
Fractional coordinates of all 10 atoms:
Ba (0.8280, 0.6720, 0.0000)
Ba (0.1720, 0.3280, 0.0000)
Ba (0.3280, 0.8280, 0.0000)
Ba (0.6720, 0.1720, 0.0000)
K (0.3284, 0.1716, 0.5000)
K (0.1716, 0.6716, 0.5000)
K (0.8284, 0.3284, 0.5000)
K (0.6716, 0.8284, 0.5000)
Zn (0.5000, 0.5000, 0.0000)
Zn (0.0000, 0.0000, 0.0000)

=====

## KBa2Zn (PBE-GGA)

Data for a geometry-optimized KBa2Zn structure.

Results
Its space group is R-3m (166). For the mass density, the calculation gives 2.7 g/cm3. The formation energy is 0.02 eV per atom. As for the density of states at the Fermi level: 1.412 states/eV/atom. Its final energy is -1.539 eV/atom.

Cell lengths 12.2016, 12.2016, 12.2016 Å; angles 22.32, 22.32, 22.32 degrees
Site moments in Bohr magnetons follow the coordinates.
Fractional coordinates of all 4 atoms:
K (0.2500, 0.2500, 0.2500)  0.00
Zn (0.7500, 0.7500, 0.7500)  0.06
Ba (0.0270, 0.0270, 0.0270)  0.06
Ba (0.4730, 0.4730, 0.4730)  0.06

=====

## KBa2Zn (PBE-GGA)

Data for a geometry-optimized KBa2Zn structure.

Results
Its space group is I-4m2 (119). For the mass density, the calculation gives 3.3 g/cm3. The formation energy is 0.20 eV per atom. As for the density of states at the Fermi level: 1.303 states/eV/atom. Its final energy is -1.357 eV/atom.

Cell lengths 7.5206, 7.5206, 7.5206 Å; angles 137.82, 137.82, 61.17 degrees
Site moments in Bohr magnetons follow the coordinates.
Fractional coordinates of all 4 atoms:
K (0.5000, 0.5000, 0.0000)  0.01
Zn (0.7500, 0.2500, 0.5000)  0.00
Ba (0.2500, 0.7500, 0.5000)  0.09
Ba (0.0000, 0.0000, 0.0000)  0.10

=====

## K2BaZn (PBE-GGA)

Data for a geometry-optimized K2BaZn structure.

Results
Its relative energy among the computed polymorphs is 60 meV per atom. Its space group is R3m (160). For the mass density, the calculation gives 2.0 g/cm3. The formation energy is 0.07 eV per atom. As for the density of states at the Fermi level: 1.110 states/eV/atom. Its final energy is -1.278 eV/atom.

Cell lengths 12.0419, 12.0419, 12.0419 Å; angles 22.83, 22.83, 22.83 degrees
Fractional coordinates of all 4 atoms:
K (0.9989, 0.9989, 0.9989)
K (0.7748, 0.7748, 0.7748)
Ba (0.2232, 0.2232, 0.2232)
Zn (0.5031, 0.5031, 0.5031)

=====

## K2BaZn2 (PBE-GGA)

Data for a geometry-optimized K2BaZn2 structure.

Results
Its relative energy among the computed polymorphs is 134 meV per atom. Its space group is P4/mbm (127). For the mass density, the calculation gives 3.0 g/cm3. The formation energy is 0.20 eV per atom. As for the density of states at the Fermi level: 1.470 states/eV/atom. Its final energy is -1.135 eV/atom.

Cell lengths 9.7338, 9.7338, 4.0161 Å; angles 90.00, 90.00, 90.00 degrees
Fractional coordinates of all 10 atoms:
K (0.3780, 0.8780, 0.0000)
K (0.6220, 0.1220, 0.0000)
K (0.8780, 0.6220, 0.0000)
K (0.1220, 0.3780, 0.0000)
Ba (0.0000, 0.0000, 0.0000)
Ba (0.5000, 0.5000, 0.0000)
Zn (0.8175, 0.3175, 0.5000)
Zn (0.6825, 0.8175, 0.5000)
Zn (0.1825, 0.6825, 0.5000)
Zn (0.3175, 0.1825, 0.5000)

=====

## K2BaZn (PBE-GGA)

Data for a geometry-optimized K2BaZn structure.

Results
Its relative energy among the computed polymorphs is 188 meV per atom. Its space group is I-4m2 (119). For the mass density, the calculation gives 2.5 g/cm3. The formation energy is 0.20 eV per atom. As for the density of states at the Fermi level: 1.359 states/eV/atom. Its final energy is -1.150 eV/atom.

Cell lengths 6.5011, 6.5011, 6.5011 Å; angles 121.84, 121.84, 86.85 degrees
Fractional coordinates of all 4 atoms:
K (0.0000, 0.0000, 0.0000)
K (0.2500, 0.7500, 0.5000)
Ba (0.7500, 0.2500, 0.5000)
Zn (0.5000, 0.5000, 0.0000)

=====

## KBaZn4 (PBE-GGA)

Data for a geometry-optimized KBaZn4 structure.

Results
Its space group is F-43m (216). For the mass density, the calculation gives 4.8 g/cm3. The formation energy is 0.01 eV per atom. As for the density of states at the Fermi level: 0.685 states/eV/atom. Its final energy is -1.348 eV/atom.

Cell lengths 5.9840, 5.9840, 5.9840 Å; angles 60.00, 60.00, 60.00 degrees
Fractional coordinates of all 6 atoms:
Zn (0.3728, 0.3728, 0.3728)
Zn (0.3728, 0.3728, 0.8816)
Zn (0.8816, 0.3728, 0.3728)
Zn (0.3728, 0.8816, 0.3728)
K (0.0000, 0.0000, 0.0000)
Ba (0.7500, 0.7500, 0.7500)

=====

## K2BaZn (PBE-GGA)

Data for a geometry-optimized K2BaZn structure.

Results
Its relative energy among the computed polymorphs is 157 meV per atom. Its space group is I4/mmm (139). For the mass density, the calculation gives 2.4 g/cm3. The formation energy is 0.17 eV per atom. As for the density of states at the Fermi level: 1.025 states/eV/atom. Its final energy is -1.181 eV/atom.

Cell lengths 7.8972, 7.8972, 7.8972 Å; angles 140.66, 140.66, 56.85 degrees
Fractional coordinates of all 4 atoms:
K (0.0000, 0.0000, 0.0000)
K (0.5000, 0.5000, 0.0000)
Ba (0.7500, 0.2500, 0.5000)
Zn (0.2500, 0.7500, 0.5000)

=====

## KBaZn10 (PBE-GGA)

Data for a geometry-optimized KBaZn10 structure.

Results
Its space group is Pmmm (47). For the mass density, the calculation gives 5.6 g/cm3. The formation energy is -0.07 eV per atom. As for the density of states at the Fermi level: 0.422 states/eV/atom. Its final energy is -1.384 eV/atom.

Cell lengths 4.1555, 5.8291, 10.1217 Å; angles 90.00, 90.00, 90.00 degrees
Fractional coordinates of all 12 atoms:
Zn (0.0000, 0.5000, 0.1610)
Zn (0.5000, 0.7476, 0.2506)
Zn (0.0000, 0.5000, 0.8390)
Zn (0.5000, 0.7476, 0.7494)
Zn (0.0000, 0.0000, 0.3251)
Zn (0.0000, 0.0000, 0.6749)
Zn (0.5000, 0.0000, 0.5000)
Zn (0.5000, 0.2524, 0.7494)
Zn (0.5000, 0.2524, 0.2506)
Zn (0.5000, 0.5000, 0.0000)
K (0.0000, 0.0000, 0.0000)
Ba (0.0000, 0.5000, 0.5000)

=====

## KBaZr2 (PBE-GGA)

Data for a geometry-optimized KBaZr2 structure.

Results
Its relative energy among the computed polymorphs is 452 meV per atom. Its space group is C2/m (12). For the mass density, the calculation gives 4.7 g/cm3. The formation energy is 0.89 eV per atom. As for the density of states at the Fermi level: 1.390 states/eV/atom. Its final energy is -4.138 eV/atom.

Cell lengths 7.2814, 7.2814, 3.2880 Å; angles 78.30, 78.30, 125.83 degrees
Fractional coordinates of all 4 atoms:
K (0.0000, 0.5000, 0.5000)
Zr (0.0000, 0.0000, 0.0000)
Zr (0.5000, 0.5000, 0.0000)
Ba (0.5000, 0.0000, 0.5000)